Entry 1:
Zr2NiPt: relaxed, PBE.

```
Zr2NiPt
1.0
3.430 0.000 0.000
0.000 3.430 0.000
0.000 0.000 6.162
Zr Ni Pt
2 1 1
Cartesian
0.000 0.000 0.000
1.715 1.715 2.042
0.000 0.000 3.238
1.715 1.715 4.831
```

Results
Calculated total energy: -31.12 eV/cell

***

Entry 2:
Na2GaPPd6: relaxed, PBE.

```
Na2GaPPd6
1.0
5.919 0.000 0.000
0.000 8.753 0.000
0.000 0.000 7.494
Na Ga P Pd
4 2 2 12
Cartesian
1.480 0.353 1.551
1.480 4.023 1.551
4.439 4.730 5.942
4.439 8.400 5.942
1.480 6.565 5.933
4.439 2.188 1.561
1.480 2.188 5.398
4.439 6.565 2.095
0.135 6.565 0.553
0.135 6.565 3.702
1.480 0.014 4.618
1.480 4.363 4.618
2.824 6.565 0.553
2.824 6.565 3.702
3.095 2.188 3.791
3.095 2.188 6.940
4.439 4.390 2.876
4.439 8.739 2.876
5.783 2.188 3.791
5.783 2.188 6.940
```

Results
Calculated total energy: -90.92 eV/cell

***

Entry 3:
La4CdCl: relaxed, PBE.

```
La4CdCl
1.0
0.000 4.628 4.628
4.628 0.000 4.628
4.628 4.628 0.000
La Cd Cl
4 1 1
Cartesian
1.129 1.129 1.129
3.499 3.499 1.129
3.499 1.129 3.499
1.129 3.499 3.499
6.942 6.942 6.942
4.628 4.628 4.628
```

Results
E_form (uncorrected): 0.086 eV/atom
Calculated total energy: -21.96 eV/cell

***

Entry 4:
SrBeSbTe2: relaxed, PBE.

```
SrBeSbTe2
1.0
6.116 0.000 0.000
0.000 6.116 0.000
0.000 0.000 6.209
Sr Be Sb Te
1 1 1 2
Cartesian
0.000 0.000 0.000
3.058 3.058 3.104
0.000 0.000 3.104
0.000 3.058 0.000
3.058 0.000 0.000
```

Results
E_form (uncorrected): 0.969 eV/atom
Energy relative to the lowest polymorph listed for this composition: 1270 meV per atom
Calculated total energy: -10.97 eV/cell